(1)
VASP calculation (PBE) on an optimized crystal structure of KLa2Si.

Cell lengths 10.7071, 10.7071, 10.7071 Å; angles 158.35, 157.16, 31.67 degrees
Atoms (fractional coordinates):
1 K 0.0000 0.0000 0.0000
2 La 0.3165 0.8165 0.5000
3 La 0.6705 0.6705 0.0000
4 Si 0.7761 0.2761 0.5000

## Properties
symmetry	Imm2
DFT total energy	-4.14	eV/atom
size of the total moment	0.16	μB/atom
uncorrected formation energy	-0.049	eV/atom

(2)
VASP calculation (PBE) on an optimized crystal structure of Rb5Sb2I2.

Cell lengths 10.7199, 10.7199, 9.4826 Å; angles 90.00, 90.00, 52.36 degrees
Atoms (fractional coordinates):
1 Rb 0.0000 0.0000 0.0000
2 Rb 0.0385 0.6896 0.6730
3 Rb 0.1896 0.5385 0.1730
4 Rb 0.3104 0.9615 0.6730
5 Rb 0.4615 0.8104 0.1730
6 Rb 0.5000 0.5000 0.5000
7 Rb 0.5385 0.1896 0.8270
8 Rb 0.6896 0.0385 0.3270
9 Rb 0.8104 0.4615 0.8270
10 Rb 0.9615 0.3104 0.3270
11 Sb 0.1060 0.8940 0.3939
12 Sb 0.3940 0.6060 0.8939
13 Sb 0.6060 0.3940 0.1061
14 Sb 0.8940 0.1060 0.6061
15 I 0.2058 0.2058 0.0000
16 I 0.2942 0.2942 0.5000
17 I 0.7058 0.7058 0.5000
18 I 0.7942 0.7942 0.0000

## Properties
symmetry	Cmce
DFT total energy	-2.67	eV/atom
size of the total moment	0.12	μB/atom
uncorrected formation energy	-0.872	eV/atom

Which formula does entry 1 have? KLa2Si